Record 1
{"formula": "ZrNbTlF2", "functional": "PBE", "state": "optimized geometry", "cell": [[4.2161, 0.0000, 0.0000], [0.0000, 4.2161, 0.0000], [0.0000, 0.0000, 5.6361]], "species": ["Zr", "Nb", "Tl", "F", "F"], "frac_coords": [[0.0000, 0.0000, 0.0000], [0.0000, 0.0000, 0.5000], [0.5000, 0.5000, 0.0000], [0.0000, 0.5000, 0.5000], [0.5000, 0.0000, 0.5000]], "formation_energy_uncorrected_ev_per_atom": -0.931, "magmom_total_mub_per_fu": 0.00, "sg": "P4/mmm, No. 123"}

Record 2
{"formula": "SrTl2RhF6", "functional": "PBE", "state": "optimized geometry", "cell": [[6.0612, 0.0000, 0.0000], [0.0000, 9.5377, 0.0000], [0.0000, 0.0000, 6.6065]], "species": ["Sr", "Sr", "Tl", "Tl", "Tl", "Tl", "Rh", "Rh", "F", "F", "F", "F", "F", "F", "F", "F", "F", "F", "F", "F"], "frac_coords": [[0.2500, 0.2500, 0.2148], [0.7500, 0.7500, 0.7852], [0.2500, 0.0266, 0.6989], [0.2500, 0.4734, 0.6989], [0.7500, 0.5266, 0.3011], [0.7500, 0.9734, 0.3011], [0.2500, 0.7500, 0.2767], [0.7500, 0.2500, 0.7233], [0.0066, 0.7500, 0.4989], [0.0085, 0.7500, 0.0565], [0.2500, 0.0049, 0.2995], [0.2500, 0.4951, 0.2995], [0.4915, 0.7500, 0.0565], [0.4934, 0.7500, 0.4989], [0.5066, 0.2500, 0.5011], [0.5085, 0.2500, 0.9435], [0.7500, 0.5049, 0.7005], [0.7500, 0.9951, 0.7005], [0.9915, 0.2500, 0.9435], [0.9934, 0.2500, 0.5011]], "formation_energy_uncorrected_ev_per_atom": -2.182, "magmom_total_mub_per_fu": 0.86, "sg": "Pmmn, No. 59"}

Record 3
{"formula": "K5Na2Cd12", "functional": "PBE", "state": "optimized geometry", "cell": [[10.2706, -3.8519, 0.0000], [10.2706, 3.8519, 0.0000], [-0.4169, 0.0000, 7.6611]], "species": ["K", "K", "K", "K", "K", "Na", "Na", "Cd", "Cd", "Cd", "Cd", "Cd", "Cd", "Cd", "Cd", "Cd", "Cd", "Cd", "Cd"], "frac_coords": [[0.0000, 0.0000, 0.0000], [0.2448, 0.2448, 0.9401], [0.2929, 0.2929, 0.4556], [0.7071, 0.7071, 0.5444], [0.7552, 0.7552, 0.0599], [0.2684, 0.7316, 0.5000], [0.7316, 0.2684, 0.5000], [0.0619, 0.6771, 0.7514], [0.1195, 0.1195, 0.6030], [0.2007, 0.5888, 0.1516], [0.3229, 0.9381, 0.2486], [0.4112, 0.7993, 0.8484], [0.4562, 0.4562, 0.8316], [0.5438, 0.5438, 0.1684], [0.5888, 0.2007, 0.1516], [0.6771, 0.0619, 0.7514], [0.7993, 0.4112, 0.8484], [0.8805, 0.8805, 0.3970], [0.9381, 0.3229, 0.2486]], "magmom_total_mub_per_fu": 0.00, "sg": "C2/m, No. 12", "formation_energy_mev_per_atom": -54}